1.
Computed, not measured: an optimized crystal structure of Ba6Cd2Au at the GGA-PBE level of DFT.

Unit cell a=8.0817 b=9.1875 c=11.9652 alpha=90.00 beta=88.83 gamma=90.00
Last column: nearest neighbours and their distance in Å.
Element x y z (fractional)
Ba 0.1357 0.0303 0.7537  1 Au 3.26, 2 Cd 3.58-3.64
Ba 0.3342 0.8169 0.0637  1 Au 3.29, 2 Cd 3.64-3.67
Ba 0.8643 0.9697 0.2463  1 Au 3.26, 2 Cd 3.58-3.64
Ba 0.6658 0.1831 0.9363  1 Au 3.29, 2 Cd 3.64-3.67
Ba 0.3643 0.5303 0.7463  1 Au 3.26, 2 Cd 3.58-3.64
Ba 0.6612 0.1771 0.5631  1 Au 3.26, 1 Cd 3.64
Ba 0.1658 0.3169 0.4363  1 Au 3.29, 2 Cd 3.64-3.67
Ba 0.3388 0.8229 0.4369  1 Au 3.26, 1 Cd 3.64
Ba 0.6357 0.4697 0.2537  1 Au 3.26, 2 Cd 3.58-3.64
Ba 0.8388 0.6771 0.9369  1 Au 3.26, 1 Cd 3.64
Ba 0.1612 0.3229 0.0631  1 Au 3.26, 1 Cd 3.64
Ba 0.8342 0.6831 0.5637  1 Au 3.29, 2 Cd 3.64-3.67
Cd 0.5536 0.8826 0.7541  6 Ba 3.58-3.72
Cd 0.0536 0.6174 0.2541  6 Ba 3.58-3.72
Cd 0.4464 0.1174 0.2459  6 Ba 3.58-3.72
Cd 0.9464 0.3826 0.7459  6 Ba 3.58-3.72
Au 0.0000 0.0000 0.5000  6 Ba 3.26-3.29
Au 0.5000 0.5000 0.0000  6 Ba 3.26-3.29

## Properties
For the density of states at the Fermi level, the calculation gives 1.25 states/eV/atom. For the mass density, the calculation gives 4.658 g/cm3. For the formation enthalpy at 0 K, the calculation gives -0.2856 eV per atom. The total energy is -2.13 eV per atom. The energy above the lowest structure with this stoichiometry is 0 meV/atom.

2.
Computed, not measured: an optimized crystal structure of Ba8Cd2Au at the GGA-PBE level of DFT.

Unit cell a=6.0024 b=8.2227 c=11.1458 alpha=105.39 beta=105.62 gamma=90.00
Last column: nearest neighbours and their distance in Å.
Element x y z (fractional)
Ba 0.2108 0.3134 0.4215  3 Cd 3.54-3.80
Ba 0.7892 0.6866 0.5785  3 Cd 3.54-3.80
Ba 0.9695 0.1993 0.9390  1 Cd 3.55, 2 Au 3.57, 1 Ba 3.85
Ba 0.5914 0.4259 0.1828  1 Au 3.51
Ba 0.6582 0.9686 0.3164  1 Au 3.48, 3 Cd 3.63-3.76
Ba 0.4086 0.5741 0.8172  1 Au 3.51
Ba 0.3418 0.0314 0.6836  1 Au 3.48, 3 Cd 3.63-3.76
Ba 0.0305 0.8007 0.0610  1 Cd 3.55, 2 Au 3.57, 1 Ba 3.85
Au 0.5000 0.0000 0.0000  8 Ba 3.48-3.57
Cd 0.8151 0.2802 0.6303  7 Ba 3.54-3.80
Cd 0.1849 0.7198 0.3697  7 Ba 3.54-3.80

## Properties
For the density of states at the Fermi level, the calculation gives 1.29 states/eV/atom. For the mass density, the calculation gives 4.957 g/cm3. For the formation enthalpy at 0 K, the calculation gives -0.2246 eV per atom. The total energy is -2.09 eV per atom. The energy above the lowest structure with this stoichiometry is 0 meV/atom.

3.
Computed, not measured: an optimized crystal structure of Ba3Cd9Au2 at the GGA-PBE level of DFT.

Unit cell a=5.0115 b=9.3951 c=9.3951 alpha=69.49 beta=74.53 gamma=74.53
Last column: nearest neighbours and their distance in Å.
Element x y z (fractional)
Cd 0.0000 0.5000 0.5000  4 Cd 2.92
Cd 0.6747 0.9674 0.6831  1 Au 2.88, 4 Cd 3.03-3.09
Cd 0.1210 0.5962 0.1618  4 Cd 2.92-3.09, 2 Au 3.07
Cd 0.1210 0.1618 0.5962  4 Cd 2.92-3.09, 2 Au 3.07
Cd 0.6747 0.6831 0.9674  1 Au 2.88, 4 Cd 3.03-3.09
Cd 0.3253 0.3169 0.0326  1 Au 2.88, 4 Cd 3.03-3.09
Cd 0.3253 0.0326 0.3169  1 Au 2.88, 4 Cd 3.03-3.09
Cd 0.8790 0.4038 0.8382  4 Cd 2.92-3.09, 2 Au 3.07
Cd 0.8790 0.8382 0.4038  4 Cd 2.92-3.09, 2 Au 3.07
Au 0.5000 0.2668 0.7332  6 Cd 2.88-3.07
Au 0.5000 0.7332 0.2668  6 Cd 2.88-3.07
Ba 0.0000 0.0000 0.0000  12 Cd 3.51-3.89, 4 Au 3.80
Ba 0.6833 0.3167 0.3167  12 Cd 3.54-3.83, 2 Au 3.66
Ba 0.3167 0.6833 0.6833  12 Cd 3.54-3.83, 2 Au 3.66

## Properties
For the density of states at the Fermi level, the calculation gives 0.50 states/eV/atom. For the mass density, the calculation gives 7.702 g/cm3. For the formation enthalpy at 0 K, the calculation gives -0.3333 eV per atom. The total energy is -1.80 eV per atom.

4.
Computed, not measured: an optimized crystal structure of Ba2Cd2Au15 at the GGA-PBE level of DFT.

Unit cell a=7.4646 b=7.4646 c=7.4646 alpha=82.67 beta=82.67 gamma=82.67
Last column: nearest neighbours and their distance in Å.
Element x y z (fractional)
Au 0.6515 0.6515 0.1549  8 Au 2.86-3.02, 1 Cd 3.09
Au 0.0000 0.5000 0.0000  8 Au 2.85-2.86, 2 Cd 3.01
Au 0.8451 0.3485 0.3485  8 Au 2.86-3.02, 1 Cd 3.09
Au 0.6989 0.3011 0.0000  8 Au 2.85-3.02
Au 0.0000 0.0000 0.5000  8 Au 2.85-2.86, 2 Cd 3.01
Au 0.0000 0.3011 0.6989  8 Au 2.85-3.02
Au 0.3011 0.0000 0.6989  8 Au 2.85-3.02
Au 0.3485 0.3485 0.8451  8 Au 2.86-3.02, 1 Cd 3.09
Au 0.0000 0.6989 0.3011  8 Au 2.85-3.02
Au 0.5000 0.0000 0.0000  8 Au 2.85-2.86, 2 Cd 3.01
Au 0.3485 0.8451 0.3485  8 Au 2.86-3.02, 1 Cd 3.09
Au 0.6989 0.0000 0.3011  8 Au 2.85-3.02
Au 0.6515 0.1549 0.6515  8 Au 2.86-3.02, 1 Cd 3.09
Au 0.1549 0.6515 0.6515  8 Au 2.86-3.02, 1 Cd 3.09
Au 0.3011 0.6989 0.0000  8 Au 2.85-3.02
Ba 0.6538 0.6538 0.6538  18 Au 3.46-3.86, 1 Cd 3.56
Ba 0.3462 0.3462 0.3462  18 Au 3.46-3.86, 1 Cd 3.56
Cd 0.1001 0.1001 0.1001  1 Cd 2.90, 6 Au 3.01-3.09
Cd 0.8999 0.8999 0.8999  1 Cd 2.90, 6 Au 3.01-3.09

## Properties
For the density of states at the Fermi level, the calculation gives 0.32 states/eV/atom. For the mass density, the calculation gives 14.108 g/cm3. For the formation enthalpy at 0 K, the calculation gives -0.3105 eV per atom. The total energy is -3.20 eV per atom.

5.
Computed, not measured: an optimized crystal structure of Ba12CdAu6 at the GGA-PBE level of DFT.

Unit cell a=10.2201 b=10.2201 c=10.2201 alpha=109.47 beta=109.47 gamma=109.47
Last column: nearest neighbours and their distance in Å.
Element x y z (fractional)
Ba 0.6929 0.5146 0.8216  3 Au 3.25-3.43
Ba 0.1287 0.8216 0.3071  3 Au 3.25-3.43
Ba 0.3071 0.4854 0.1784  3 Au 3.25-3.43
Ba 0.5146 0.8216 0.6929  3 Au 3.25-3.43
Ba 0.3071 0.1287 0.8216  3 Au 3.25-3.43
Ba 0.1784 0.3071 0.4854  3 Au 3.25-3.43
Ba 0.8216 0.3071 0.1287  3 Au 3.25-3.43
Ba 0.1784 0.6929 0.8713  3 Au 3.25-3.43
Ba 0.4854 0.1784 0.3071  3 Au 3.25-3.43
Ba 0.8713 0.1784 0.6929  3 Au 3.25-3.43
Ba 0.8216 0.6929 0.5146  3 Au 3.25-3.43
Ba 0.6929 0.8713 0.1784  3 Au 3.25-3.43
Au 0.5000 0.1250 0.6250  1 Au 2.95, 2 Ba 3.25
Au 0.1250 0.6250 0.5000  1 Au 2.95, 2 Ba 3.25
Au 0.6250 0.5000 0.1250  1 Au 2.95, 2 Ba 3.25
Au 0.5000 0.8750 0.3750  1 Au 2.95, 2 Ba 3.25
Au 0.3750 0.5000 0.8750  1 Au 2.95, 2 Ba 3.25
Au 0.8750 0.3750 0.5000  1 Au 2.95, 2 Ba 3.25
Cd 0.0000 0.0000 0.0000  12 Ba 4.19

## Properties
For the density of states at the Fermi level, the calculation gives 1.23 states/eV/atom. For the mass density, the calculation gives 5.945 g/cm3. For the formation enthalpy at 0 K, the calculation gives -0.4757 eV per atom. The total energy is -2.77 eV per atom.

6.
Computed, not measured: an optimized crystal structure of Ba2Cd2Au at the GGA-PBE level of DFT.

Unit cell a=4.1832 b=4.1832 c=10.4249 alpha=78.43 beta=78.43 gamma=90.00
Last column: nearest neighbours and their distance in Å.
Element x y z (fractional)
Cd 0.7500 0.2500 0.5000  4 Cd 2.96
Cd 0.2500 0.7500 0.5000  4 Cd 2.96
Ba 0.5952 0.5952 0.8096  4 Au 3.52, 4 Cd 3.74, 1 Ba 3.81
Ba 0.4048 0.4048 0.1904  4 Au 3.52, 4 Cd 3.74, 1 Ba 3.81
Au 0.0000 0.0000 0.0000  8 Ba 3.52

## Properties
For the density of states at the Fermi level, the calculation gives 0.93 states/eV/atom. For the mass density, the calculation gives 6.611 g/cm3. For the formation enthalpy at 0 K, the calculation gives -0.3466 eV per atom. The total energy is -2.14 eV per atom. The energy above the lowest structure with this stoichiometry is 105 meV/atom.

7.
Computed, not measured: an optimized crystal structure of Ba6CdAu at the GGA-PBE level of DFT.

Unit cell a=5.9892 b=5.9901 c=11.7635 alpha=75.25 beta=75.25 gamma=90.00
Last column: nearest neighbours and their distance in Å.
Element x y z (fractional)
Ba 0.9116 0.4116 0.1768  2 Cd 3.57, 2 Au 3.57, 1 Ba 3.88
Ba 0.5883 0.0884 0.8233  2 Au 3.57, 2 Cd 3.57, 1 Ba 3.88
Ba 0.0884 0.5884 0.8232  2 Cd 3.57, 2 Au 3.57, 1 Ba 3.88
Ba 0.2524 0.2524 0.4952  12 Ba 4.24-4.68
Ba 0.7476 0.7476 0.5048  12 Ba 4.24-4.68
Ba 0.4117 0.9116 0.1767  2 Au 3.57, 2 Cd 3.57, 1 Ba 3.88
Cd 0.5000 0.5000 0.0000  8 Ba 3.57
Au 0.0000 0.0000 0.0000  8 Ba 3.57

## Properties
For the density of states at the Fermi level, the calculation gives 1.12 states/eV/atom. For the mass density, the calculation gives 4.780 g/cm3. For the formation enthalpy at 0 K, the calculation gives -0.2432 eV per atom. The total energy is -2.21 eV per atom. The energy above the lowest structure with this stoichiometry is 0 meV/atom.

8.
Computed, not measured: an optimized crystal structure of BaCd10Au2 at the GGA-PBE level of DFT.

Unit cell a=5.8362 b=7.7686 c=7.8292 alpha=81.95 beta=68.12 gamma=67.94
Last column: nearest neighbours and their distance in Å.
Element x y z (fractional)
Ba 0.0000 0.0000 0.0000  16 Cd 3.62-3.91, 4 Au 3.88
Au 0.5000 0.5000 0.0000  8 Cd 2.92-3.07, 2 Au 2.92
Au 0.0000 0.5000 0.0000  8 Cd 2.92-3.07, 2 Au 2.92
Cd 0.2813 0.2235 0.2139  2 Au 2.92, 7 Cd 3.01-3.23
Cd 0.7187 0.7765 0.7861  2 Au 2.92, 7 Cd 3.01-3.23
Cd 0.9914 0.3624 0.6549  7 Cd 3.00-3.36, 2 Au 3.07
Cd 0.5000 0.0000 0.5000  10 Cd 2.92-3.19
Cd 0.5048 0.7765 0.2139  2 Au 2.92, 7 Cd 3.01-3.23
Cd 0.3537 0.6376 0.6549  7 Cd 3.00-3.36, 2 Au 3.07
Cd 0.0000 0.0000 0.5000  10 Cd 2.92-3.19
Cd 0.6463 0.3624 0.3451  7 Cd 3.00-3.36, 2 Au 3.07
Cd 0.0086 0.6376 0.3451  7 Cd 3.00-3.36, 2 Au 3.07
Cd 0.4952 0.2235 0.7861  2 Au 2.92, 7 Cd 3.01-3.23

## Properties
For the density of states at the Fermi level, the calculation gives 0.48 states/eV/atom. For the mass density, the calculation gives 9.004 g/cm3. For the formation enthalpy at 0 K, the calculation gives -0.1843 eV per atom. The total energy is -1.54 eV per atom.

9.
Computed, not measured: an optimized crystal structure of Ba3CdAu3 at the GGA-PBE level of DFT.

Unit cell a=6.6068 b=9.8514 c=9.8514 alpha=120.00 beta=90.00 gamma=90.00
Last column: nearest neighbours and their distance in Å.
Element x y z (fractional)
Au 0.7500 0.6317 0.9468  1 Cd 2.85
Au 0.2500 0.6849 0.6317  1 Cd 2.85
Au 0.2500 0.3683 0.0532  1 Cd 2.85
Au 0.7500 0.3151 0.3683  1 Cd 2.85
Au 0.2500 0.9468 0.3151  1 Cd 2.85
Au 0.7500 0.0532 0.6849  1 Cd 2.85
Cd 0.2500 0.6667 0.3333  3 Au 2.85
Cd 0.7500 0.3333 0.6667  3 Au 2.85
Ba 0.2500 0.0545 0.6956  5 Au 3.30-3.37, 1 Cd 3.70
Ba 0.7500 0.3589 0.0545  5 Au 3.30-3.37, 1 Cd 3.70
Ba 0.2500 0.6411 0.9455  5 Au 3.30-3.37, 1 Cd 3.70
Ba 0.2500 0.3044 0.3589  5 Au 3.30-3.37, 1 Cd 3.70
Ba 0.7500 0.9455 0.3044  5 Au 3.30-3.37, 1 Cd 3.70
Ba 0.7500 0.6956 0.6411  5 Au 3.30-3.37, 1 Cd 3.70

## Properties
For the density of states at the Fermi level, the calculation gives 0.56 states/eV/atom. For the mass density, the calculation gives 6.670 g/cm3. For the formation enthalpy at 0 K, the calculation gives -0.5648 eV per atom. The total energy is -2.92 eV per atom. The energy above the lowest structure with this stoichiometry is 73 meV/atom.

10.
Computed, not measured: an optimized crystal structure of BaCd2Au3 at the GGA-PBE level of DFT.

Unit cell a=5.8936 b=7.3004 c=7.3004 alpha=99.81 beta=90.00 gamma=90.00
Last column: nearest neighbours and their distance in Å.
Element x y z (fractional)
Cd 0.0000 0.2165 0.7835  6 Au 2.80-3.00, 2 Cd 2.95
Cd 0.0000 0.7835 0.2165  6 Au 2.80-3.00, 2 Cd 2.95
Cd 0.5000 0.2165 0.7835  6 Au 2.80-3.00, 2 Cd 2.95
Cd 0.5000 0.7835 0.2165  6 Au 2.80-3.00, 2 Cd 2.95
Ba 0.7500 0.7046 0.7046  9 Au 3.47-3.61
Ba 0.2500 0.2954 0.2954  9 Au 3.47-3.61
Au 0.2500 0.9088 0.5404  1 Au 2.80, 4 Cd 2.80-3.00
Au 0.7500 0.4596 0.0912  1 Au 2.80, 4 Cd 2.80-3.00
Au 0.2500 0.9263 0.9263  2 Au 2.80, 4 Cd 2.91
Au 0.2500 0.5404 0.9088  1 Au 2.80, 4 Cd 2.80-3.00
Au 0.7500 0.0912 0.4596  1 Au 2.80, 4 Cd 2.80-3.00
Au 0.7500 0.0737 0.0737  2 Au 2.80, 4 Cd 2.91

## Properties
For the density of states at the Fermi level, the calculation gives 0.34 states/eV/atom. For the mass density, the calculation gives 10.226 g/cm3. For the formation enthalpy at 0 K, the calculation gives -0.4608 eV per atom. The total energy is -2.72 eV per atom.

11.
Computed, not measured: an optimized crystal structure of BaCd4Au4 at the GGA-PBE level of DFT.

Unit cell a=6.9547 b=6.9547 c=9.2726 alpha=90.00 beta=90.00 gamma=90.00
Last column: nearest neighbours and their distance in Å.
Element x y z (fractional)
Au 0.5000 0.2001 0.8079  1 Au 2.78, 5 Cd 2.83-2.86
Au 0.7001 0.0000 0.3079  1 Au 2.78, 5 Cd 2.83-2.86
Au 0.0000 0.2999 0.6921  1 Au 2.78, 5 Cd 2.83-2.86
Au 0.0000 0.7001 0.6921  1 Au 2.78, 5 Cd 2.83-2.86
Au 0.5000 0.7999 0.8079  1 Au 2.78, 5 Cd 2.83-2.86
Au 0.2999 0.0000 0.3079  1 Au 2.78, 5 Cd 2.83-2.86
Au 0.2001 0.5000 0.1921  1 Au 2.78, 5 Cd 2.83-2.86
Au 0.7999 0.5000 0.1921  1 Au 2.78, 5 Cd 2.83-2.86
Cd 0.2542 0.0000 0.6108  5 Au 2.83-2.86
Cd 0.2458 0.5000 0.8892  5 Au 2.83-2.86
Cd 0.7542 0.5000 0.8892  5 Au 2.83-2.86
Cd 0.0000 0.7458 0.3892  5 Au 2.83-2.86
Cd 0.7458 0.0000 0.6108  5 Au 2.83-2.86
Cd 0.0000 0.2542 0.3892  5 Au 2.83-2.86
Cd 0.5000 0.7542 0.1108  5 Au 2.83-2.86
Cd 0.5000 0.2458 0.1108  5 Au 2.83-2.86
Ba 0.0000 0.0000 0.0000  4 Au 3.54
Ba 0.5000 0.5000 0.5000  4 Au 3.54

## Properties
For the density of states at the Fermi level, the calculation gives 0.49 states/eV/atom. For the mass density, the calculation gives 10.181 g/cm3. For the formation enthalpy at 0 K, the calculation gives -0.3435 eV per atom. The total energy is -2.42 eV per atom.

12.
Computed, not measured: an optimized crystal structure of BaCd4Au2 at the GGA-PBE level of DFT.

Unit cell a=4.5163 b=4.5922 c=8.8795 alpha=104.99 beta=90.00 gamma=90.00
Last column: nearest neighbours and their distance in Å.
Element x y z (fractional)
Au 0.5000 0.5813 0.1626  1 Au 2.79, 4 Cd 2.89-2.90
Au 0.5000 0.4187 0.8374  1 Au 2.79, 4 Cd 2.89-2.90
Cd 0.5000 0.1836 0.3673  2 Au 2.89, 8 Cd 3.16-3.23
Cd 0.0000 0.6871 0.3743  2 Au 2.90, 8 Cd 3.15-3.22
Cd 0.5000 0.8164 0.6327  2 Au 2.89, 8 Cd 3.16-3.23
Cd 0.0000 0.3129 0.6257  2 Au 2.90, 8 Cd 3.15-3.22
Ba 0.0000 0.0000 0.0000  8 Au 3.51, 4 Cd 3.88

## Properties
For the density of states at the Fermi level, the calculation gives 0.37 states/eV/atom. For the mass density, the calculation gives 9.156 g/cm3. For the formation enthalpy at 0 K, the calculation gives -0.3719 eV per atom. The total energy is -2.11 eV per atom. The energy above the lowest structure with this stoichiometry is 28 meV/atom.

Among the records above, which one has the highest density of states at the Fermi level?
Ba8Cd2Au